# 1
{
  "formula": "In8Hg3Br8",
  "functional": "GGA-PBE",
  "state": "optimized geometry",
  "lattice": [[6.249, 0.000, -1.773], [-0.843, 9.503, -2.972], [0.326, -0.420, 13.051]],
  "species": ["Hg", "Br", "Hg", "Br", "Br", "Br", "In", "In", "Br", "Br", "In", "In", "Hg", "In", "In", "Br", "In", "In", "Br"],
  "frac_coords": [[0.807, 0.799, 0.614], [0.686, 0.459, 0.371], [0.193, 0.201, 0.386], [0.782, 0.150, 0.564], [0.218, 0.850, 0.436], [0.417, 0.038, 0.835], [0.558, 0.247, 0.116], [0.811, 0.483, 0.622], [0.314, 0.541, 0.629], [0.583, 0.962, 0.165], [0.920, 0.063, 0.841], [0.691, 0.855, 0.381], [0.500, 0.500, 0.000], [0.309, 0.145, 0.619], [0.442, 0.753, 0.884], [0.951, 0.783, 0.902], [0.189, 0.517, 0.378], [0.080, 0.937, 0.159], [0.049, 0.217, 0.098]],
  "total_energy_ev_per_atom": -2.419
}


# 2
{
  "formula": "Tc2IrRu",
  "functional": "GGA-PBE",
  "state": "optimized geometry",
  "lattice": [[-0.462, 4.032, -2.388], [2.098, -0.449, -4.192], [-3.169, -2.700, 2.211]],
  "species": ["Tc", "Ir", "Tc", "Ru"],
  "frac_coords": [[0.749, 0.251, 0.500], [0.500, 0.500, 0.000], [0.001, 0.999, 0.000], [0.250, 0.750, 0.500]],
  "formation_energy_ev_per_atom": -0.064,
  "de_polymorph_kj_per_mol_atoms": 13.1
}


# 3
{
  "formula": "Na3LaFe",
  "functional": "GGA-PBE",
  "state": "optimized geometry",
  "lattice": [[-3.319, 3.684, 3.425], [-3.598, -4.607, 1.469], [3.516, -1.236, 4.736]],
  "species": ["Na", "Na", "La", "Na", "Fe"],
  "frac_coords": [[0.500, 0.000, 0.000], [0.000, 0.500, 0.000], [0.000, 0.000, 0.000], [0.000, 0.000, 0.500], [0.500, 0.500, 0.500]],
  "formation_energy_ev_per_atom": 1.687,
  "de_polymorph_kj_per_mol_atoms": 80.7
}


# 4
{
  "formula": "ThAg2Hg",
  "functional": "GGA-PBE",
  "state": "optimized geometry",
  "lattice": [[-2.618, 1.556, -1.735], [0.953, -1.666, -2.932], [-4.555, -5.701, 1.759]],
  "species": ["Ag", "Th", "Hg", "Ag"],
  "frac_coords": [[0.000, 0.000, 0.220], [0.500, 0.500, 0.500], [0.500, 0.500, 0.000], [0.000, 0.000, 0.780]],
  "formation_energy_ev_per_atom": -0.015
}


# 5
{
  "formula": "Nd6Er2Tm3In",
  "functional": "GGA-PBE",
  "state": "optimized geometry",
  "lattice": [[-1.384, 5.949, -0.961], [-0.573, -2.443, 5.651], [11.586, 1.744, 0.793]],
  "species": ["Nd", "Nd", "Er", "Nd", "In", "Er", "Tm", "Tm", "Nd", "Tm", "Nd", "Nd"],
  "frac_coords": [[0.411, 0.083, 0.249], [0.589, 0.917, 0.751], [0.667, 0.333, 0.000], [0.917, 0.589, 0.751], [0.000, 0.000, 0.000], [0.333, 0.667, 0.000], [0.168, 0.832, 0.500], [0.500, 0.500, 0.500], [0.245, 0.245, 0.750], [0.832, 0.168, 0.500], [0.083, 0.411, 0.249], [0.755, 0.755, 0.250]],
  "formation_energy_ev_per_atom": -0.030
}


# 6
{
  "formula": "Th6Sb3As2P",
  "functional": "GGA-PBE",
  "state": "optimized geometry",
  "lattice": [[-3.089, 2.911, -0.855], [-1.795, 0.615, 8.581], [8.228, 5.197, -1.071]],
  "species": ["As", "Sb", "Th", "Th", "Sb", "Sb", "Th", "P", "As", "Th", "Th", "Th"],
  "frac_coords": [[0.166, 0.333, 0.332], [0.831, 0.166, 0.663], [0.004, 0.227, 0.008], [0.328, 0.431, 0.656], [0.169, 0.834, 0.337], [0.500, 0.500, 0.000], [0.996, 0.773, 0.992], [0.500, 0.000, 0.000], [0.834, 0.667, 0.668], [0.657, 0.094, 0.314], [0.672, 0.569, 0.344], [0.343, 0.906, 0.686]],
  "total_energy_ev_per_atom": -7.148
}


# 7
{
  "formula": "RuPb2Br",
  "functional": "GGA-PBE",
  "state": "optimized geometry",
  "lattice": [[-0.006, 1.134, 4.973], [-3.715, -3.462, 0.475], [4.399, -1.476, -2.118]],
  "species": ["Pb", "Br", "Ru", "Pb"],
  "frac_coords": [[0.250, 0.750, 0.500], [0.750, 0.250, 0.500], [0.500, 0.500, 0.000], [0.000, 0.000, 0.000]],
  "de_polymorph_kj_per_mol_atoms": 48.8
}


# 8
{
  "formula": "MnPd2Rh2",
  "functional": "GGA-PBE",
  "state": "optimized geometry",
  "lattice": [[-5.479, 0.907, -2.443], [-2.516, -3.328, 4.406], [-0.466, 3.416, 2.314]],
  "species": ["Rh", "Mn", "Mn", "Pd", "Rh", "Pd", "Rh", "Pd", "Pd", "Rh"],
  "frac_coords": [[0.357, 0.857, 0.000], [0.000, 0.000, 0.000], [0.500, 0.500, 0.000], [0.164, 0.664, 0.500], [0.143, 0.357, 0.000], [0.836, 0.336, 0.500], [0.643, 0.143, 0.000], [0.336, 0.164, 0.500], [0.664, 0.836, 0.500], [0.857, 0.643, 0.000]],
  "formation_energy_ev_per_atom": 0.411
}


Copy entry 6 word for word.
{
  "formula": "Th6Sb3As2P",
  "functional": "GGA-PBE",
  "state": "optimized geometry",
  "lattice": [[-3.089, 2.911, -0.855], [-1.795, 0.615, 8.581], [8.228, 5.197, -1.071]],
  "species": ["As", "Sb", "Th", "Th", "Sb", "Sb", "Th", "P", "As", "Th", "Th", "Th"],
  "frac_coords": [[0.166, 0.333, 0.332], [0.831, 0.166, 0.663], [0.004, 0.227, 0.008], [0.328, 0.431, 0.656], [0.169, 0.834, 0.337], [0.500, 0.500, 0.000], [0.996, 0.773, 0.992], [0.500, 0.000, 0.000], [0.834, 0.667, 0.668], [0.657, 0.094, 0.314], [0.672, 0.569, 0.344], [0.343, 0.906, 0.686]],
  "total_energy_ev_per_atom": -7.148
}


What did the sixth record say?
{
  "formula": "Th6Sb3As2P",
  "functional": "GGA-PBE",
  "state": "optimized geometry",
  "lattice": [[-3.089, 2.911, -0.855], [-1.795, 0.615, 8.581], [8.228, 5.197, -1.071]],
  "species": ["As", "Sb", "Th", "Th", "Sb", "Sb", "Th", "P", "As", "Th", "Th", "Th"],
  "frac_coords": [[0.166, 0.333, 0.332], [0.831, 0.166, 0.663], [0.004, 0.227, 0.008], [0.328, 0.431, 0.656], [0.169, 0.834, 0.337], [0.500, 0.500, 0.000], [0.996, 0.773, 0.992], [0.500, 0.000, 0.000], [0.834, 0.667, 0.668], [0.657, 0.094, 0.314], [0.672, 0.569, 0.344], [0.343, 0.906, 0.686]],
  "total_energy_ev_per_atom": -7.148
}